1.
First-principles (PBE) data for crystalline Pa3BeCo3 at its relaxed geometry, as listed in Alexandria.

Lattice parameters (Å, degrees): 3.8893 5.4018 12.8325 84.06 74.48 66.04
Fractional positions:
Pa 0.4901 0.3357 0.6087
Pa 0.5099 0.6643 0.3913
Pa 0.3071 0.2627 0.2334
Pa 0.6929 0.7373 0.7666
Pa 0.3997 0.2727 0.9192
Pa 0.6003 0.7273 0.0808
Be 0.7837 0.0903 0.3886
Be 0.2163 0.9097 0.6114
Co 0.8277 0.8239 0.5384
Co 0.1723 0.1761 0.4616
Co 0.0988 0.8154 0.9255
Co 0.9012 0.1846 0.0745
Co 0.0229 0.8099 0.2347
Co 0.9771 0.1901 0.7653

Values from the calculation:
- energy relative to the elements (meV/atom) = -294
- final energy (eV for the cell shown) = -111.182


2.
First-principles (PBE) data for crystalline LaAs2SeBr at its relaxed geometry, as listed in Alexandria.

Lattice parameters (Å, degrees): 5.9502 5.9502 5.6317 90.00 90.00 90.00
Each line ends with the local moment (μB).
Fractional positions:
As 0.0000 0.5000 0.0000  0.39
As 0.5000 0.0000 0.0000  0.39
Se 0.5000 0.5000 0.5000  -0.66
Br 0.0000 0.0000 0.5000  0.05
La 0.0000 0.0000 0.0000  0.05

Values from the calculation:
- offset from the most stable computed form (eV/atom) = 0.493
- formation energy without anion corrections (eV/atom) = 0.302
- final energy (eV for the cell shown) = -17.876


- Among the records above, which one has the highest final energy?
  LaAs2SeBr


- Look up the final energy of the second one.
  -17.876 eV for the cell shown